(A)
Below is a geometry-optimized HfOsRu3 structure, with properties calculated at the PBE-GGA level.

Computed properties:
- N(E_F) (states/eV per atom) = 1.915

extended XYZ file:
```
5
Lattice="-1.842 3.909 -1.605 -1.812 -2.312 -3.553 -3.818 -0.789 2.460" Properties=species:S:1:pos:R:3 pbc="T T T"
Hf 0.000 0.000 0.000
Os -3.736 0.404 -1.349
Ru -0.906 -1.156 -1.776
Ru -1.909 -0.394 1.230
Ru -0.921 1.955 -0.803
```

(B)
Below is a geometry-optimized HfOsRu3 structure, with properties calculated at the PBE-GGA level.

Computed properties:
- N(E_F) (states/eV per atom) = 1.132

extended XYZ file:
```
5
Lattice="4.640 0.000 0.000 0.000 4.640 0.000 0.000 0.000 4.640" Properties=species:S:1:pos:R:3 pbc="T T T"
Hf 2.320 2.320 2.320
Os 0.000 0.000 0.000
Ru 0.000 2.320 0.000
Ru 0.000 0.000 2.320
Ru 2.320 0.000 0.000
```

Most stable structure - (B); separation to the second - 900 meV per atom.

(A)
Below is a geometry-optimized HfTiOsRu2 structure, with properties calculated at the PBE-GGA level.

Computed properties:
- N(E_F) (states/eV per atom) = 1.132

extended XYZ file:
```
5
Lattice="4.596 0.000 0.000 0.000 4.693 0.000 0.000 0.000 4.596" Properties=species:S:1:pos:R:3 pbc="T T T"
Hf 0.000 0.000 0.000
Ti 0.000 2.346 0.000
Os 2.298 2.346 2.298
Ru 0.000 0.000 2.298
Ru 2.298 0.000 0.000
```

(B)
Below is a geometry-optimized HfTiOsRu2 structure, with properties calculated at the PBE-GGA level.

Computed properties:
- N(E_F) (states/eV per atom) = 1.756

extended XYZ file:
```
5
Lattice="-0.977 4.587 -0.336 -1.826 -0.691 -4.122 -4.196 -0.748 1.984" Properties=species:S:1:pos:R:3 pbc="T T T"
Hf -3.500 1.574 -1.237
Ti -0.913 -0.345 -2.061
Os 0.000 0.000 0.000
Ru -2.098 -0.374 0.992
Ru -0.488 2.293 -0.168
```

Most stable structure - (B); separation to the second - 927 meV per atom.